(1)
# LaPrPbO2

A relaxed LaPrPbO2 crystal (PBE, the Alexandria database).

Geometry as extended XYZ:
```
5
Lattice="-1.606 2.963 2.227 -0.457 -2.567 3.085 7.785 1.591 -0.167" Properties=species:S:1:pos:R:3 pbc="T T T"
Pb 6.744 1.787 2.485
O 3.151 -0.388 2.788
O 2.576 2.377 2.359
La 2.272 0.602 0.837
Pr 3.458 1.387 4.310
```

Calculated values
The value obtained for the raw formation energy is -2.47 eV per atom.

(2)
# La2Pr4Pb3O2

A relaxed La2Pr4Pb3O2 crystal (PBE, the Alexandria database).

Geometry as extended XYZ:
```
11
Lattice="4.925 0.000 0.000 0.000 4.925 0.000 -2.462 -2.462 13.297" Properties=species:S:1:pos:R:3 pbc="T T T"
Pr 2.462 0.000 2.178
Pb 2.462 2.462 8.584
Pb 0.000 0.000 4.713
O 2.462 2.462 2.729
Pr 0.000 2.462 2.178
O 0.000 0.000 10.569
Pb 0.000 0.000 0.000
Pr 0.000 2.462 11.119
La 0.000 0.000 8.174
Pr 2.462 0.000 11.119
La 2.462 2.462 5.123
```

Calculated values
The value obtained for the raw formation energy is -1.39 eV per atom.

Which of these has the lowest raw formation energy?
LaPrPbO2

Which value of raw formation energy does entry 2 give?
-1.39 eV per atom